PBE CuO2F3, relaxed; uncorrected energy = -4.143 eV/atom; energy relative to the elements, uncorrected = -5.23 eV/f.u.; total magnetic moment = 2.96 μB per formula unit; D(E_F) = 3.8 states/eV/cell; calculated density = 3.31 Mg/m³
1.0
2.966 0.000 0.000
-0.001 3.878 0.000
-0.185 -0.899 6.652
Cu O F
1 2 3
direct
0.000 0.000 0.000
0.002 0.379 0.548
0.998 0.621 0.452
0.000 0.500 0.000
0.490 0.956 0.810
0.510 0.044 0.190

***

PBE LaDySbAs, relaxed; uncorrected energy = -5.932 eV/atom; energy relative to the elements, uncorrected = -5.43 eV/f.u.; total magnetic moment = 0.00 μB per formula unit; D(E_F) = 0.6 states/eV/cell; calculated density = 6.98 Mg/m³
1.0
2.183 1.261 7.174
-2.183 1.261 7.174
0.000 -2.521 7.174
La Dy Sb As
1 1 1 1
direct
0.000 0.000 0.000
0.511 0.511 0.511
0.760 0.760 0.760
0.251 0.251 0.251

***

PBE MnZnFe2, relaxed; uncorrected energy = -6.739 eV/atom; DFT formation energy = 0.104 eV per atom; total magnetic moment = 5.18 μB per formula unit; D(E_F) = 4.3 states/eV/cell; calculated density = 8.15 Mg/m³
1.0
1.460 -1.993 0.000
1.460 1.993 0.000
0.000 0.000 8.122
Mn Zn Fe
1 1 2
direct
0.000 0.000 0.000
0.000 0.000 0.500
0.500 0.500 0.240
0.500 0.500 0.760

***

PBE KPmTeBr2, relaxed; uncorrected energy = -4.127 eV/atom; energy relative to the elements, uncorrected = -8.30 eV/f.u.; total magnetic moment = 0.00 μB per formula unit; calculated density = 4.18 Mg/m³
1.0
2.272 -9.273 0.000
2.272 9.273 0.000
0.000 0.000 8.886
K Pm Te Br
2 2 2 4
direct
0.208 0.792 0.750
0.792 0.208 0.250
0.500 0.500 0.000
0.500 0.500 0.500
0.000 0.000 0.250
0.000 0.000 0.750
0.346 0.654 0.001
0.346 0.654 0.499
0.654 0.346 0.501
0.654 0.346 0.999